# 1
9
Lattice="4.295 0.000 0.000 0.000 4.295 0.000 0.000 0.000 8.947" Properties=species:S:1:pos:R:3 comment="CeThSi2Pt5 GGA-PBE optimized geometry" e_tot_ev_per_atom=-7.07 dos_at_fermi_per_ev_atom=0.818 magmom_total_mub_per_cell=0.44 raw_formation_energy_ev_per_atom=-1.03 pbc="T T T"
Ce 0.000 0.000 0.000
Th 0.000 0.000 4.474
Si 2.147 2.147 3.273
Si 2.147 2.147 5.674
Pt 0.000 2.147 2.109
Pt 0.000 2.147 6.838
Pt 2.147 0.000 2.109
Pt 2.147 0.000 6.838
Pt 2.147 2.147 0.000



# 2
5
Lattice="7.157 0.000 0.000 0.000 7.157 0.000 0.000 0.000 7.157" Properties=species:S:1:pos:R:3 comment="KRb3S GGA-PBE optimized geometry" e_tot_ev_per_atom=-1.29 dos_at_fermi_per_ev_atom=0.008 magmom_total_mub_per_cell=0.00 raw_formation_energy_ev_per_atom=0.33 pbc="T T T"
K 0.000 0.000 0.000
Rb 0.000 0.000 3.578
Rb 0.000 3.578 0.000
Rb 3.578 0.000 0.000
S 3.578 3.578 3.578



# 3
18
Lattice="7.614 -5.731 0.000 7.614 5.731 0.000 -6.393 0.000 7.577" Properties=species:S:1:pos:R:3 comment="Tb5Sm3Er GGA-PBE optimized geometry" e_tot_ev_per_atom=-4.13 dos_at_fermi_per_ev_atom=1.412 magmom_total_mub_per_cell=0.00 ef_ev_per_atom=0.518 pbc="T T T"
Tb 3.639 2.884 1.917
Tb 1.918 0.000 1.739
Tb 7.614 2.933 0.000
Tb -1.923 0.000 7.272
Tb 5.197 2.884 5.660
Tb 3.639 -2.884 1.917
Tb 10.758 0.000 0.305
Tb 7.614 -2.933 0.000
Tb 6.917 0.000 5.838
Tb 5.197 -2.884 5.660
Sm -3.197 0.000 3.789
Sm -5.081 0.000 6.166
Sm 3.219 0.000 4.866
Sm 7.614 0.000 0.000
Sm 5.617 0.000 2.711
Sm 13.917 0.000 1.411
Er -0.005 0.000 4.542
Er 8.841 0.000 3.035



# 4
20
Lattice="-5.895 5.895 5.895 5.895 -5.895 5.895 5.895 5.895 -5.895" Properties=species:S:1:pos:R:3 comment="La12Pm7Pu GGA-PBE optimized geometry" e_tot_ev_per_atom=-4.76 dos_at_fermi_per_ev_atom=2.285 magmom_total_mub_per_cell=7.50 ef_ev_per_atom=0.577 pbc="T T T"
La 5.895 -2.961 2.993
La 2.934 2.902 0.000
La 8.857 2.902 0.000
La 2.993 5.895 -2.961
La 2.902 0.000 2.934
La 0.000 2.934 2.902
La 5.895 2.961 2.993
La 2.993 5.895 2.961
La 2.902 0.000 8.857
La -2.961 2.993 5.895
La 2.961 2.993 5.895
La 0.000 8.857 2.902
Pm 2.948 2.948 -2.948
Pm 2.948 -2.948 2.948
Pm 5.895 0.000 0.000
Pm -2.948 2.948 2.948
Pm 0.000 5.895 0.000
Pm 0.000 0.000 5.895
Pm 2.948 2.948 2.948
Pu 0.000 0.000 0.000



# 5
10
Lattice="2.637 0.000 0.000 0.000 2.637 0.000 0.000 0.000 13.189" Properties=species:S:1:pos:R:3 comment="Be5Co4Ru GGA-PBE optimized geometry" e_tot_ev_per_atom=-5.91 dos_at_fermi_per_ev_atom=1.011 magmom_total_mub_per_cell=1.44 ef_ev_per_atom=-0.276 pbc="T T T"
Be 0.000 0.000 0.000
Be 0.000 0.000 2.554
Be 0.000 0.000 5.037
Be 0.000 0.000 8.152
Be 0.000 0.000 10.635
Co 1.318 1.318 1.274
Co 1.318 1.318 3.816
Co 1.318 1.318 9.373
Co 1.318 1.318 11.915
Ru 1.318 1.318 6.595



# 6
4
Lattice="0.000 3.696 3.696 3.696 0.000 3.696 3.696 3.696 0.000" Properties=species:S:1:pos:R:3 comment="Sr2CdOs GGA-PBE optimized geometry" e_tot_ev_per_atom=-3.32 dos_at_fermi_per_ev_atom=0.354 magmom_total_mub_per_cell=0.00 ef_ev_per_atom=0.554 pbc="T T T"
Sr 0.000 0.000 0.000
Sr 1.848 1.848 1.848
Cd 3.696 3.696 3.696
Os 5.544 5.544 5.544



# 7
4
Lattice="0.000 3.737 3.737 3.737 0.000 3.737 3.737 3.737 0.000" Properties=species:S:1:pos:R:3 comment="AcPmMgOs GGA-PBE optimized geometry" e_tot_ev_per_atom=-5.30 dos_at_fermi_per_ev_atom=1.151 magmom_total_mub_per_cell=0.00 ef_ev_per_atom=0.118 pbc="T T T"
Ac 0.000 0.000 0.000
Pm 3.737 3.737 3.737
Mg 5.606 5.606 5.606
Os 1.869 1.869 1.869



# 8
10
Lattice="0.000 8.180 3.118 5.412 0.000 3.118 5.412 8.180 0.000" Properties=species:S:1:pos:R:3 comment="Ba2Si3 GGA-PBE optimized geometry" e_tot_ev_per_atom=-4.21 dos_at_fermi_per_ev_atom=0.293 magmom_total_mub_per_cell=0.00 raw_formation_energy_ev_per_atom=-0.19 pbc="T T T"
Ba 6.234 4.888 3.118
Ba 7.296 8.978 4.676
Ba 4.590 11.473 3.118
Ba 3.528 7.383 4.676
Si 4.694 1.945 3.168
Si 1.988 2.146 1.610
Si 5.412 8.180 1.551
Si 3.424 6.035 1.610
Si 2.706 4.090 3.110
Si 6.130 14.416 3.168